# GGA-PBE CsTl4Rh, relaxed
# * space group: P4/mmm (123)
# * E_tot: -17.5 eV/f.u.
# * calculated volume: 40.432 Å³/atom
# * ρ: 7.210 g cm⁻³
# * magnetic moment: 0.00 Bohr magnetons per cell
data_CsTl4Rh
_chemical_formula_sum 'Cs1 Tl4 Rh1'
_space_group_name_H-M_alt 'P 1'
_space_group_IT_number 1
_cell_length_a 5.3402
_cell_length_b 5.3402
_cell_length_c 8.5067
_cell_angle_alpha 90.00
_cell_angle_beta 90.00
_cell_angle_gamma 90.00
loop_
_space_group_symop_operation_xyz
'x,y,z'
loop_
_atom_site_label
_atom_site_fract_x
_atom_site_fract_y
_atom_site_fract_z
Cs1 0.0000 0.0000 0.0000
Tl1 0.0000 0.5000 0.5000
Tl2 0.5000 0.0000 0.5000
Tl3 0.5000 0.5000 0.1835
Tl4 0.5000 0.5000 0.8165
Rh1 0.5000 0.5000 0.5000